# 1
DFT (PBE) results for an optimized crystal structure of Cs3HgSb2.

Summary:
total DFT energy (no corrections) = -2.227 eV per atom
formation energy from raw total energies = -0.375 eV per atom
crystal system = monoclinic

a = 13.9810 Å, b = 5.3001 Å, c = 15.0141 Å
α = 90.00°, β = 90.71°, γ = 90.00°
Last column: nearest neighbours and their distance in Å.
Space group C2/m (No. 12)
Unique sites:
Cs 0.1316 0.0000 0.0312 [4 per cell]  1 Cs 3.79, 3 Sb 3.90-4.06, 2 Hg 4.21-4.22
Cs 0.1471 0.5000 0.5811 [4 per cell]  6 Sb 3.82-4.19, 2 Hg 3.92
Cs 0.1494 0.5000 0.2632 [4 per cell]  3 Sb 3.79-3.94, 3 Hg 4.00-4.02
Hg 0.0645 0.0000 0.7569 [4 per cell]  3 Sb 3.01-3.09
Sb 0.0532 0.0000 0.4186 [4 per cell]  1 Sb 2.88, 1 Hg 3.09
Sb 0.1103 0.5000 0.8418 [4 per cell]  2 Hg 3.01

***

# 2
DFT (PBE) results for an optimized crystal structure of Ba5NdS6.

Summary:
total DFT energy (no corrections) = -5.307 eV per atom
formation energy from raw total energies = -2.045 eV per atom
crystal system = monoclinic

a = 7.7426 Å, b = 13.3937 Å, c = 7.7276 Å
α = 90.00°, β = 109.54°, γ = 90.00°
Last column: nearest neighbours and their distance in Å.
Space group C2/m (No. 12)
Unique sites:
Ba 0.0000 0.0000 0.0000 [2 per cell]  6 S 3.15-3.36
Ba 0.0000 0.1662 0.5000 [4 per cell]  6 S 3.18
Ba 0.0000 0.3307 0.0000 [4 per cell]  6 S 3.16-3.34
Nd 0.0000 0.5000 0.5000 [2 per cell]  6 S 2.95-2.96
S 0.2305 0.5000 0.2627 [4 per cell]  1 Nd 2.96, 4 Ba 3.17-3.18
S 0.2338 0.3447 0.7355 [8 per cell]  1 Nd 2.95, 4 Ba 3.15-3.18

***

# 3
DFT (PBE) results for an optimized crystal structure of TlBr3Cl.

Summary:
total DFT energy (no corrections) = -1.968 eV per atom
formation energy from raw total energies = -0.122 eV per atom
crystal system = cubic

a = 5.4365 Å, b = 5.4365 Å, c = 5.4365 Å
α = 90.00°, β = 90.00°, γ = 90.00°
Last column: nearest neighbours and their distance in Å.
Space group Pm-3m (No. 221)
Unique sites:
Tl 0.0000 0.0000 0.0000 [1 per cell]  12 Br 3.84
Br 0.0000 0.5000 0.5000 [3 per cell]  2 Cl 2.72
Cl 0.5000 0.5000 0.5000 [1 per cell]  6 Br 2.72

***

# 4
DFT (PBE) results for an optimized crystal structure of BeHg2Mo.

Summary:
formation energy = 0.5809 eV per atom
total DFT energy (no corrections) = -3.209 eV per atom
crystal system = tetragonal

a = 4.0137 Å, b = 4.0137 Å, c = 4.2308 Å
α = 90.00°, β = 90.00°, γ = 90.00°
Last column: nearest neighbours and their distance in Å.
Space group P4/mmm (No. 123)
Unique sites:
Be 0.0000 0.0000 0.0000 [1 per cell]  4 Mo 2.84, 8 Hg 2.92
Hg 0.0000 0.5000 0.5000 [2 per cell]  4 Hg 2.84, 4 Mo 2.92, 4 Be 2.92
Mo 0.5000 0.5000 0.0000 [1 per cell]  4 Be 2.84, 8 Hg 2.92

***

| no. | Fermi-level density of states (states/eV/f.u.) |
| --- | --- |
| 1 | 1.490 |
| 2 | 2.442 |
| 3 | 4.923 |
| 4 | 2.063 |